RbNdWO5 | GGA+U | optimized geometry

As for the density: 4.99 g/cm3. The calculation puts the raw total energy at -7.089 eV/atom. For the total magnetization, the calculation gives 0.00 μB/cell.

The space group is C2/c (No. 15) and the conventional cell measures 8.036, 10.639 and 8.459 Å, with angles of 90.00, 114.83 and 90.00 degrees. Symmetry generates all atoms from Rb at (0.000, 0.179, 0.250), Nd at (0.000, 0.500, 0.000), W at (0.000, 0.185, 0.750), O at (0.000, 0.430, 0.250), O at (0.086, 0.284, 0.625) and O at (0.180, 0.084, 0.898).